No. 1
Density functional theory data (PBE) for LiCoAsPd after structural relaxation.

Cell and atoms, written as CIF:
```
data_LiCoAsPd
_chemical_formula_sum 'Li4 Co4 As4 Pd4'
_symmetry_space_group_name_H-M 'F -4 3 m'
_symmetry_Int_Tables_number 216
_symmetry_space_group_name_Hall 'F -4 2 3'
_cell_length_a 5.917
_cell_length_b 5.917
_cell_length_c 5.917
_cell_angle_alpha 90.00
_cell_angle_beta 90.00
_cell_angle_gamma 90.00
loop_
_atom_site_label
_atom_site_fract_x
_atom_site_fract_y
_atom_site_fract_z
_atom_site_occupancy
Li1 0.000 0.000 0.000 1
Co1 0.250 0.250 0.750 1
As1 0.000 0.000 0.500 1
Pd1 0.250 0.250 0.250 1
```

Computed properties:
* energy of formation from the pure elements: -0.296 eV/atom
* density: 7.93 g/cm3

=====

No. 2
Density functional theory data (PBE) for Li2CoAs2Pt after structural relaxation.

Cell and atoms, written as CIF:
```
data_Li2CoAs2Pt
_chemical_formula_sum 'Li8 Co4 As8 Pt4'
_symmetry_space_group_name_H-M 'I b a m'
_symmetry_Int_Tables_number 72
_symmetry_space_group_name_Hall '-I 2 2c'
_cell_length_a 5.589
_cell_length_b 12.289
_cell_length_c 5.522
_cell_angle_alpha 90.00
_cell_angle_beta 90.00
_cell_angle_gamma 90.00
loop_
_atom_site_label
_atom_site_fract_x
_atom_site_fract_y
_atom_site_fract_z
_atom_site_occupancy
Li1 0.232 0.161 0.000 1
Co1 0.000 0.500 0.250 1
As1 0.212 0.378 0.000 1
Pt1 0.000 0.000 0.250 1
```

Computed properties:
* energy of formation from the pure elements: -0.511 eV/atom
* density: 7.32 g/cm3

=====

Values for total magnetization, Bohr magnetons per cell, ordered as above
5.35; 4.43
Values for total energy, eV per atom, ordered as above
-5.012; -4.890